No. 1
Compound: TbSm4Y7
Source: Alexandria
Functional: GGA-PBE
Structure: relaxed

Structure (POSCAR):
```
TbSm4Y7
1.0
-1.3278 -6.7291 0.1742
2.7262 -6.4501 5.3427
-5.6240 2.0120 6.8978
Tb Y Sm
1 7 4
Direct
0.0000 0.0000 0.0000
0.9855 0.3217 0.6389
0.0145 0.6783 0.3611
0.7376 0.5107 0.9512
0.7049 0.1866 0.3827
0.5000 0.0000 0.0000
0.2624 0.4893 0.0488
0.2951 0.8134 0.6173
0.4544 0.3597 0.7167
0.5456 0.6403 0.2833
0.7801 0.8389 0.6932
0.2199 0.1611 0.3068
```

No. 2
Compound: Tb2Sm5Y12
Source: Alexandria
Functional: GGA-PBE
Structure: relaxed

Structure (POSCAR):
```
Tb2Sm5Y12
1.0
6.0031 1.7510 -0.8669
-1.4656 7.6974 -9.3092
-0.3160 -3.6896 17.0797
Y Sm Tb
12 5 2
Direct
0.2731 0.5403 0.9001
0.8364 0.8798 0.7068
0.0879 0.5301 0.3715
0.1636 0.1202 0.2932
0.2328 0.2509 0.0394
0.5419 0.7533 0.4264
0.4581 0.2467 0.5736
0.3105 0.0914 0.7600
0.9121 0.4699 0.6285
0.6895 0.9086 0.2400
0.7269 0.4597 0.0999
0.7672 0.7491 0.9606
0.7850 0.3158 0.8260
0.2150 0.6842 0.1740
0.0000 0.0000 0.5000
0.3687 0.6710 0.6636
0.6313 0.3290 0.3364
0.2562 0.9260 0.9944
0.7438 0.0739 0.0056
```

no.,E (eV/atom),formation enthalpy at 0 K (eV per atom),density of states at the Fermi level (states/eV per cell)
1,-5.65,0.0841,21.08
2,-5.75,0.0575,28.70